1.
AcAlC2O8 | GGA-PBE | optimized geometry

Lattice parameters (Å, degrees): 4.6227 4.6227 7.1400 90.00 90.00 120.00
Element x y z (fractional)
Ac 0.0000 0.0000 0.0000
Al 0.0000 0.0000 0.5000
C 0.6667 0.3333 0.2750
C 0.3333 0.6667 0.7250
O 0.3333 0.6667 0.9220
O 0.3527 0.2629 0.3326
O 0.7371 0.0898 0.3326
O 0.6667 0.3333 0.0780
O 0.2629 0.9102 0.6674
O 0.6473 0.7371 0.6674
O 0.0898 0.3527 0.6674
O 0.9102 0.6473 0.3326

Raw formation energy: -1.809 eV/atom
Magnetization: 2.017 μB/f.u.



2.
La2HWS | GGA-PBE | optimized geometry

Lattice parameters (Å, degrees): 5.4119 3.6818 5.4119 90.00 90.00 90.00
Element x y z (fractional)
H 0.0000 0.5000 0.0000
S 0.5000 0.5000 0.5000
W 0.0000 0.0000 0.0000
La 0.0000 0.0000 0.5000
La 0.5000 0.0000 0.0000

Magnetization: 0.000 μB/f.u.
DFT total energy: -0.2292 Ha/atom



3.
ErNi5Rh | GGA-PBE | optimized geometry

Lattice parameters (Å, degrees): 4.8484 7.8506 9.8986 90.00 90.00 90.00
Element x y z (fractional)
Er 0.2500 0.2437 0.9391
Er 0.7500 0.2563 0.4391
Er 0.2500 0.7437 0.5609
Er 0.7500 0.7563 0.0609
Ni 0.2500 0.5984 0.0205
Ni 0.7500 0.9016 0.5205
Ni 0.2500 0.0984 0.4795
Ni 0.7500 0.4016 0.9795
Ni 0.7500 0.3191 0.7446
Ni 0.2500 0.1809 0.2446
Ni 0.7500 0.8191 0.7554
Ni 0.2500 0.6809 0.2554
Ni 0.2500 0.9392 0.0959
Ni 0.7500 0.5608 0.5959
Ni 0.2500 0.4392 0.4041
Ni 0.7500 0.0608 0.9041
Ni 0.9958 0.4304 0.1891
Ni 0.0042 0.0696 0.6891
Ni 0.5042 0.9304 0.3109
Ni 0.4958 0.5696 0.8109
Ni 0.0042 0.5696 0.8109
Ni 0.9958 0.9304 0.3109
Ni 0.4958 0.0696 0.6891
Ni 0.5042 0.4304 0.1891
Rh 0.2500 0.8579 0.8542
Rh 0.7500 0.6421 0.3542
Rh 0.2500 0.3579 0.6458
Rh 0.7500 0.1421 0.1458

E_form: -0.27 eV/atom
Magnetization: 2.428 μB/f.u.



4.
LuGaGe | GGA-PBE | optimized geometry

Lattice parameters (Å, degrees): 4.2642 4.0917 4.0917 120.00 90.00 90.00
Element x y z (fractional)
Ge 0.2671 0.3333 0.6667
Lu 0.6676 0.6667 0.3333
Ga 0.0653 0.0000 0.0000

E_form: -0.52 eV/atom
Magnetization: 0.000 μB/f.u.



5.
Al4Si3 | GGA-PBE | optimized geometry

Lattice parameters (Å, degrees): 9.9667 9.9667 9.9667 160.47 160.47 27.75
Element x y z (fractional)
Al 0.8532 0.8532 0.0000
Al 0.1468 0.1468 0.0000
Al 0.5704 0.5704 0.0000
Al 0.4296 0.4296 0.0000
Si 0.0000 0.0000 0.0000
Si 0.7172 0.7172 0.0000
Si 0.2828 0.2828 0.0000

Raw formation energy: 0.206 eV/atom
Magnetization: 0.000 μB/f.u.



For the records above, the corresponding ρ values read 5.102 7.618 9.936 8.523 2.887 Mg/m³.